Te2IrNF: relaxed, PBEsol.

Summary:
DOS(E_F): 3.62 states/eV/cell
E_tot: -5.28 eV per atom
ΔE_f (raw): 0.184 eV per atom

Lattice parameters (Å, degrees): 5.380 5.380 3.596 90.00 90.00 90.00
Space group P4/mmm (No. 123)
Asymmetric unit:
Te (0.000, 0.500, 0.000) [2 per cell]
Ir (0.000, 0.000, 0.000) [1 per cell]
N (0.000, 0.000, 0.500) [1 per cell]
F (0.500, 0.500, 0.500) [1 per cell]

CaSi4Ag: relaxed, PBEsol.

Summary:
DOS(E_F): 11.57 states/eV/cell
E_tot: -4.72 eV per atom
ΔE_f (raw): 0.017 eV per atom

Lattice parameters (Å, degrees): 7.389 7.389 7.389 90.00 90.00 90.00
Space group F-43m (No. 216)
Asymmetric unit:
Ca (0.000, 0.000, 0.000) [4 per cell]
Si (0.123, 0.123, 0.623) [16 per cell]
Ag (0.250, 0.250, 0.250) [4 per cell]

LiYMo2: relaxed, PBEsol.

Summary:
ΔE to the lowest computed polymorph: 87 meV per atom
DOS(E_F): 6.34 states/eV/cell
E_tot: -7.61 eV per atom
energy of formation from the pure elements: 1.89 eV/f.u.

Lattice parameters (Å, degrees): 3.380 4.202 9.766 90.00 90.00 90.00
Space group Immm (No. 71)
Asymmetric unit:
Li (0.000, 0.000, 0.000) [2 per cell]
Y (0.000, 0.000, 0.500) [2 per cell]
Mo (0.000, 0.500, 0.256) [4 per cell]

LaCr2SbW: relaxed, PBEsol.

Summary:
DOS(E_F): 5.01 states/eV/cell
E_tot: -6.41 eV per atom
ΔE_f (raw): 2.428 eV per atom

Lattice parameters (Å, degrees): 4.452 4.452 5.730 90.00 90.00 90.00
Space group P4/mmm (No. 123)
Asymmetric unit:
La (0.000, 0.000, 0.000) [1 per cell]
Cr (0.000, 0.500, 0.000) [2 per cell]
Sb (0.000, 0.000, 0.500) [1 per cell]
W (0.500, 0.500, 0.500) [1 per cell]

Sb2S3O12: relaxed, PBEsol.

Summary:
ΔE to the lowest computed polymorph: 5 meV per atom
DOS(E_F): 0.00 states/eV/cell
E_tot: -6.34 eV per atom
ΔE_f (raw): -1.326 eV per atom

Lattice parameters (Å, degrees): 9.2085 9.2085 20.6857 90.00 90.00 120.00
Space group R-3c (No. 167, hexagonal axes)
Asymmetric unit:
Sb (0.0000, 0.0000, 0.1493) [12 per cell]
S (0.0000, 0.3380, 0.2500) [18 per cell]
O (0.0029, 0.2543, 0.1904) [36 per cell]
O (0.0272, 0.1817, 0.5821) [36 per cell]

Y2AlFe2: relaxed, PBEsol.

Summary:
DOS(E_F): 9.44 states/eV/cell
E_tot: -7.26 eV per atom
energy of formation from the pure elements: -0.65 eV/f.u.

Lattice parameters (Å, degrees): 6.677 6.677 4.143 90.00 90.00 90.00
Space group P4/mbm (No. 127)
Asymmetric unit:
Y (0.182, 0.318, 0.000) [4 per cell]
Al (0.000, 0.000, 0.500) [2 per cell]
Fe (0.114, 0.614, 0.500) [4 per cell]

LaSb2Pd2: relaxed, PBEsol.

Summary:
DOS(E_F): 3.40 states/eV/cell
E_tot: -6.19 eV per atom
ΔE_f (raw): -0.916 eV per atom

Lattice parameters (Å, degrees): 4.643 4.643 10.321 90.00 90.00 90.00
Space group P4/nmm (No. 129, origin choice 2)
Asymmetric unit:
La (0.250, 0.250, 0.242) [2 per cell]
Sb (0.250, 0.250, 0.873) [2 per cell]
Sb (0.250, 0.750, 0.500) [2 per cell]
Pd (0.250, 0.250, 0.624) [2 per cell]
Pd (0.250, 0.750, 0.000) [2 per cell]

TeP2Au: relaxed, PBEsol.

Summary:
DOS(E_F): 3.47 states/eV/cell
E_tot: -4.53 eV per atom
ΔE_f (raw): 0.232 eV per atom

Lattice parameters (Å, degrees): 3.131 3.817 13.366 90.00 90.00 90.00
Space group Imm2 (No. 44)
Asymmetric unit:
Te (0.000, 0.000, 0.000) [2 per cell]
P (0.000, 0.000, 0.642) [2 per cell]
P (0.000, 0.500, 0.258) [2 per cell]
Au (0.000, 0.500, 0.845) [2 per cell]

The lowest DOS(E_F) belongs to which entry? Sb2S3O12

Which of these has the lowest DOS(E_F)? Sb2S3O12